Entry 1:
## LaTlNiF2 (GGA+U)

Data for crystalline LaTlNiF2 at its relaxed geometry.

Calculated volume: 23.079 Å³ per atom
N(E_F): 0.6 states/eV/cell
Total magnetic moment: 0.00 μB per cell
Electronic total energy: -4.305 eV per atom

```
data_LaTlNiF2
_symmetry_space_group_name_H-M 'P 4/m m m'
_symmetry_Int_Tables_number 123
_symmetry_space_group_name_Hall '-P 4 2'
_cell_length_a 4.571
_cell_length_b 4.571
_cell_length_c 5.523
_cell_angle_alpha 90.00
_cell_angle_beta 90.00
_cell_angle_gamma 90.00
loop_
_atom_site_label
_atom_site_type_symbol
_atom_site_fract_x
_atom_site_fract_y
_atom_site_fract_z
_atom_site_occupancy
La1 La 0.000 0.000 0.000 1
Tl1 Tl 0.500 0.500 0.500 1
Ni1 Ni 0.000 0.000 0.500 1
F1 F 0.000 0.500 0.000 1
```

Entry 2:
## LaNiWF2 (GGA+U)

Data for crystalline LaNiWF2 at its relaxed geometry.

Calculated volume: 27.247 Å³ per atom
N(E_F): 1.0 states/eV/cell
Total magnetic moment: 5.22 μB per cell
Electronic total energy: -4.636 eV per atom

```
data_LaNiWF2
_symmetry_space_group_name_H-M 'P 4/m m m'
_symmetry_Int_Tables_number 123
_symmetry_space_group_name_Hall '-P 4 2'
_cell_length_a 4.442
_cell_length_b 4.442
_cell_length_c 6.905
_cell_angle_alpha 90.00
_cell_angle_beta 90.00
_cell_angle_gamma 90.00
loop_
_atom_site_label
_atom_site_type_symbol
_atom_site_fract_x
_atom_site_fract_y
_atom_site_fract_z
_atom_site_occupancy
La1 La 0.000 0.000 0.000 1
Ni1 Ni 0.500 0.500 0.500 1
W1 W 0.000 0.000 0.500 1
F1 F 0.000 0.500 0.000 1
```